[1]
A plane-wave DFT calculation with PBE-GGA was carried out for a relaxed Li3ScAs crystal.

## Properties
VASP energy = -2.370 eV per atom
DFT formation energy = 0.975 eV per atom
ρ = 1.84 Mg/m³

Cell lengths 5.0221, 5.0221, 5.0221 Å; angles 90.00, 90.00, 90.00 degrees
Each line ends with the local moment (μB).
Element x y z (fractional)
Sc 0.0000 0.0000 0.0000  1.06
As 0.5000 0.5000 0.5000  -0.07
Li 0.0000 0.5000 0.0000  0.03
Li 0.0000 0.0000 0.5000  0.02
Li 0.5000 0.0000 0.0000  0.04



[2]
A plane-wave DFT calculation with PBE-GGA was carried out for a relaxed Li2ScAs crystal.

## Properties
VASP energy = -4.162 eV per atom
DFT formation energy = -0.460 eV per atom
ρ = 2.77 Mg/m³

Cell lengths 3.6112, 3.6112, 6.1518 Å; angles 90.00, 90.00, 90.00 degrees
Element x y z (fractional)
As 0.5000 0.5000 0.7147
Li 0.0000 0.0000 0.0050
Li 0.5000 0.5000 0.2272
Sc 0.0000 0.0000 0.5532



[3]
A plane-wave DFT calculation with PBE-GGA was carried out for a relaxed LiScAs2 crystal.

## Properties
VASP energy = -5.003 eV per atom
DFT formation energy = -0.617 eV per atom
ρ = 4.21 Mg/m³

Cell lengths 7.8106, 7.8106, 7.8106 Å; angles 25.80, 25.80, 25.80 degrees
Element x y z (fractional)
As 0.9998 0.9998 0.9998
As 0.5002 0.5002 0.5002
Li 0.2500 0.2500 0.2500
Sc 0.7500 0.7500 0.7500



[4]
A plane-wave DFT calculation with PBE-GGA was carried out for a relaxed LiScAs2 crystal.

## Properties
VASP energy = -5.109 eV per atom
DFT formation energy = -0.722 eV per atom
ρ = 4.70 Mg/m³

Cell lengths 4.3550, 4.3846, 3.7352 Å; angles 90.00, 90.00, 90.00 degrees
Element x y z (fractional)
As 0.0000 0.0000 0.0000
As 0.5000 0.5000 0.0000
Li 0.5000 0.0000 0.5000
Sc 0.0000 0.5000 0.5000



[5]
A plane-wave DFT calculation with PBE-GGA was carried out for a relaxed Li2ScAs crystal.

## Properties
VASP energy = -4.107 eV per atom
DFT formation energy = -0.405 eV per atom
ρ = 2.81 Mg/m³

Cell lengths 3.8483, 5.9834, 3.8452 Å; angles 71.55, 89.15, 108.47 degrees
Each line ends with the local moment (μB).
Element x y z (fractional)
As 0.5000 0.5000 0.0000  0.00
Li 0.0000 0.0000 0.0000  0.04
Li 0.5000 0.0000 0.5000  0.04
Sc 0.0000 0.5000 0.5000  0.25



[6]
A plane-wave DFT calculation with PBE-GGA was carried out for a relaxed LiScAs crystal.

## Properties
VASP energy = -5.147 eV per atom
DFT formation energy = -0.849 eV per atom
ρ = 3.52 Mg/m³

Cell lengths 4.3912, 4.3912, 4.3912 Å; angles 60.00, 60.00, 60.00 degrees
Element x y z (fractional)
As 0.7500 0.7500 0.7500
Li 0.0000 0.0000 0.0000
Sc 0.5000 0.5000 0.5000